This record from Alexandria describes a geometry-optimized Sc3TiHg4 structure. The functional is PBE.

Cell lengths 3.5400, 3.5400, 13.5196 Å; angles 90.00, 90.00, 90.00 degrees
Space group P4/mmm (No. 123)
Asymmetric unit:
Sc1 0.0000 0.0000 0.0000 (multiplicity 1)
Sc2 0.0000 0.0000 0.2590 (multiplicity 2)
Ti1 0.0000 0.0000 0.5000 (multiplicity 1)
Hg1 0.5000 0.5000 0.1283 (multiplicity 2)
Hg2 0.5000 0.5000 0.3824 (multiplicity 2)

Properties
Density   9.65 g/cm³
ΔH_f (0 K)   -307 meV/atom
N(E_F)   7.53 states/eV/cell

This record from Alexandria describes a geometry-optimized Sc3TiHg structure. The functional is PBE.

Cell lengths 5.2599, 5.2599, 5.2599 Å; angles 90.00, 90.00, 90.00 degrees
Space group Pm-3m (No. 221)
Asymmetric unit:
Sc1 0.0000 0.0000 0.5000 (multiplicity 3)
Ti1 0.5000 0.5000 0.5000 (multiplicity 1)
Hg1 0.0000 0.0000 0.0000 (multiplicity 1)

Properties
Density   4.37 g/cm³
ΔH_f (0 K)   677 meV/atom
Energy above the lowest structure with this stoichiometry   170 meV per atom
N(E_F)   12.21 states/eV/cell

Q: What is the formula in the second record?
A: Sc3TiHg

Q: The lowest ΔH_f (0 K) belongs to which entry?
A: Sc3TiHg4